(1)
The following is a PBE calculation of a relaxed Rb2Ag3F10 crystal, from Alexandria.

Cell: 19.9643 6.5866 8.6814 Å, 90.00 111.51 90.00°
Space group C2/m (No. 12)
Symmetry-distinct sites (fractional):
1 Rb 0.1160 0.0000 0.2281 x4
2 Rb 0.2100 0.0000 0.8208 x4
3 Ag 0.0000 0.2513 0.5000 x4
4 Ag 0.0798 0.5000 0.9800 x4
5 Ag 0.1831 0.5000 0.5185 x4
6 F 0.0000 0.3000 0.0000 x4
7 F 0.0178 0.0000 0.6737 x4
8 F 0.0218 0.5000 0.6816 x4
9 F 0.1103 0.2560 0.5276 x8
10 F 0.1362 0.5000 0.2710 x4
11 F 0.1504 0.2765 0.9899 x8
12 F 0.2349 0.5000 0.7634 x4
13 F 0.2500 0.2500 0.5000 x4

---

(2)
The following is a PBE calculation of a relaxed Rb4Ag3F12 crystal, from Alexandria.

Cell: 9.7272 9.7272 9.7272 Å, 90.00 90.00 90.00°
Space group Im-3 (No. 204)
Symmetry-distinct sites (fractional):
1 Rb 0.2500 0.2500 0.2500 x8
2 Ag 0.0000 0.0000 0.5000 x6
3 F 0.0000 0.1461 0.3550 x24

---

(3)
The following is a PBE calculation of a relaxed Rb2AgRhF6 crystal, from Alexandria.

Cell: 8.8397 8.8397 8.8397 Å, 90.00 90.00 90.00°
Space group Fm-3m (No. 225)
Symmetry-distinct sites (fractional):
1 Rb 0.2500 0.2500 0.2500 x8
2 Ag 0.0000 0.0000 0.0000 x4
3 Rh 0.0000 0.0000 0.5000 x4
4 F 0.0000 0.0000 0.2703 x24

---

(4)
The following is a PBE calculation of a relaxed RbAg2RhF6 crystal, from Alexandria.

Cell: 6.3599 6.3599 14.9892 Å, 90.00 90.00 120.00°
Space group R-3 (No. 148, hexagonal axes)
Symmetry-distinct sites (fractional):
1 Rb 0.0000 0.0000 0.0000 x3
2 Ag 0.0000 0.0000 0.2757 x6
3 Rh 0.0000 0.0000 0.5000 x3
4 F 0.0159 0.2647 0.4206 x18

---

(5)
The following is a PBE calculation of a relaxed RbAg2RhF8 crystal, from Alexandria.

Cell: 4.8829 5.4773 7.6490 Å, 95.24 95.77 95.13°
Space group P-1 (No. 2)
Symmetry-distinct sites (fractional):
1 Rb 0.0000 0.0000 0.0000 x1
2 Ag 0.4156 0.4922 0.7628 x2
3 Rh 0.0000 0.0000 0.5000 x1
4 F 0.1026 0.7713 0.3119 x2
5 F 0.1775 0.8152 0.6795 x2
6 F 0.3310 0.2368 0.5097 x2
7 F 0.4854 0.7322 0.0138 x2

---

(6)
The following is a PBE calculation of a relaxed RbAgRhF6 crystal, from Alexandria.

Cell: 6.0238 10.4498 5.5700 Å, 90.00 90.05 90.00°
Space group C2 (No. 5)
Symmetry-distinct sites (fractional):
1 Rb 0.0000 0.0000 0.0000 x2
2 Ag 0.0000 0.3335 0.5000 x2
3 Rh 0.0000 0.6666 0.5000 x2
4 F 0.1279 0.5283 0.3053 x4
5 F 0.1428 0.7999 0.3053 x4
6 F 0.2274 0.1715 0.3063 x4

---

(7)
The following is a PBE calculation of a relaxed Rb2AgRuF crystal, from Alexandria.

Cell: 6.3838 6.3838 5.0362 Å, 90.00 90.00 90.00°
Space group P4/mmm (No. 123)
Symmetry-distinct sites (fractional):
1 Rb 0.0000 0.5000 0.0000 x2
2 Ag 0.0000 0.0000 0.5000 x1
3 Ru 0.0000 0.0000 0.0000 x1
4 F 0.5000 0.5000 0.5000 x1

---

(8)
The following is a PBE calculation of a relaxed Rb2AgRuF6 crystal, from Alexandria.

Cell: 8.8930 8.8930 8.8930 Å, 90.00 90.00 90.00°
Space group Fm-3m (No. 225)
Symmetry-distinct sites (fractional):
1 Rb 0.2500 0.2500 0.2500 x8
2 Ag 0.0000 0.0000 0.0000 x4
3 Ru 0.0000 0.0000 0.5000 x4
4 F 0.0000 0.0000 0.2711 x24

---

(9)
The following is a PBE calculation of a relaxed RbAg2RuF8 crystal, from Alexandria.

Cell: 4.8388 5.5121 7.7705 Å, 90.76 90.60 97.02°
Space group P-1 (No. 2)
Symmetry-distinct sites (fractional):
1 Rb 0.0000 0.0000 0.0000 x1
2 Ag 0.4874 0.4960 0.7631 x2
3 Ru 0.0000 0.0000 0.5000 x1
4 F 0.1503 0.8080 0.3237 x2
5 F 0.1546 0.8091 0.6737 x2
6 F 0.3250 0.2470 0.5041 x2
7 F 0.4756 0.7344 0.9997 x2

---

(10)
The following is a PBE calculation of a relaxed RbAgRuF6 crystal, from Alexandria.

Cell: 6.1113 10.6221 5.4689 Å, 90.00 90.09 90.00°
Space group C2 (No. 5)
Symmetry-distinct sites (fractional):
1 Rb 0.0000 0.0000 0.0000 x2
2 Ag 0.0000 0.3339 0.5000 x2
3 Ru 0.0000 0.6666 0.5000 x2
4 F 0.1258 0.5315 0.3009 x4
5 F 0.1386 0.7974 0.3010 x4
6 F 0.2321 0.1707 0.3030 x4

---

(11)
The following is a PBE calculation of a relaxed Rb2AgSF6 crystal, from Alexandria.

Cell: 6.2069 6.2069 9.7609 Å, 90.00 90.00 90.00°
Space group I4/mmm (No. 139)
Symmetry-distinct sites (fractional):
1 Rb 0.0000 0.5000 0.2500 x4
2 Ag 0.0000 0.0000 0.0000 x2
3 S 0.0000 0.0000 0.5000 x2
4 F 0.0000 0.0000 0.2224 x4
5 F 0.2108 0.2108 0.5000 x8

---

(12)
The following is a PBE calculation of a relaxed Rb2AgSbF6 crystal, from Alexandria.

Cell: 6.4783 6.4815 6.5361 Å, 61.03 60.39 60.47°
Space group P1 (No. 1)
Symmetry-distinct sites (fractional):
1 Rb 0.0000 0.0000 0.0000 x1
2 Rb 0.4936 0.4861 0.5157 x1
3 Ag 0.2465 0.2429 0.2578 x1
4 Sb 0.7467 0.7430 0.7579 x1
5 F 0.0260 0.4772 0.9495 x1
6 F 0.4682 0.0071 0.5659 x1
7 F 0.5006 0.9001 0.0672 x1
8 F 0.5605 0.4599 0.9453 x1
9 F 0.9322 0.0271 0.5702 x1
10 F 0.9906 0.5857 0.4488 x1

---

(13)
The following is a PBE calculation of a relaxed RbAgSbF6 crystal, from Alexandria.

Cell: 6.2324 10.8225 5.5911 Å, 90.00 90.08 90.00°
Space group C2 (No. 5)
Symmetry-distinct sites (fractional):
1 Rb 0.0000 0.0000 0.0000 x2
2 Ag 0.0000 0.3338 0.5000 x2
3 Sb 0.0000 0.6667 0.5000 x2
4 F 0.1268 0.5271 0.2946 x4
5 F 0.1455 0.8000 0.2944 x4
6 F 0.2258 0.1728 0.2956 x4

---

(14)
The following is a PBE calculation of a relaxed RbScAg2F6 crystal, from Alexandria.

Cell: 6.1988 6.4571 10.6772 Å, 90.00 124.76 90.00°
Space group P2_1/c (No. 14)
Symmetry-distinct sites (fractional):
1 Rb 0.0000 0.0000 0.0000 x2
2 Sc 0.5000 0.0000 0.5000 x2
3 Ag 0.2303 0.0237 0.7277 x4
4 F 0.1845 0.1328 0.4797 x4
5 F 0.2629 0.7483 0.8816 x4
6 F 0.4090 0.1374 0.3015 x4

---

(15)
The following is a PBE calculation of a relaxed Rb2Sc3AgF12 crystal, from Alexandria.

Cell: 7.8752 7.8752 18.3127 Å, 90.00 90.00 120.00°
Space group R-3m (No. 166, hexagonal axes)
Symmetry-distinct sites (fractional):
1 Rb 0.0000 0.0000 0.1296 x6
2 Sc 0.0000 0.5000 0.0000 x9
3 Ag 0.0000 0.0000 0.5000 x3
4 F 0.0085 0.5042 0.8914 x18
5 F 0.0813 0.5406 0.3310 x18

---

(16)
The following is a PBE calculation of a relaxed Rb3ScAg2F9 crystal, from Alexandria.

Cell: 6.2979 6.2979 7.7760 Å, 90.00 90.00 120.00°
Space group P-3m1 (No. 164)
Symmetry-distinct sites (fractional):
1 Rb 0.0000 0.0000 0.0000 x1
2 Rb 0.3333 0.6667 0.6921 x2
3 Sc 0.0000 0.0000 0.5000 x1
4 Ag 0.3333 0.6667 0.1732 x2
5 F 0.0000 0.5000 0.0000 x3
6 F 0.1527 0.3054 0.3494 x6

---

(17)
The following is a PBE calculation of a relaxed Rb2AgSeF6 crystal, from Alexandria.

Cell: 6.3442 6.3442 9.6824 Å, 90.00 90.00 90.00°
Space group I4/mmm (No. 139)
Symmetry-distinct sites (fractional):
1 Rb 0.0000 0.5000 0.2500 x4
2 Ag 0.0000 0.0000 0.0000 x2
3 Se 0.0000 0.0000 0.5000 x2
4 F 0.0000 0.0000 0.2271 x4
5 F 0.2192 0.2192 0.5000 x8

---

(18)
The following is a PBE calculation of a relaxed RbSiAg2F6 crystal, from Alexandria.

Cell: 6.0836 7.1129 9.7456 Å, 90.00 128.62 90.00°
Space group P2_1/c (No. 14)
Symmetry-distinct sites (fractional):
1 Rb 0.0000 0.0000 0.0000 x2
2 Si 0.5000 0.0000 0.5000 x2
3 Ag 0.3145 0.9998 0.8145 x4
4 F 0.2207 0.1394 0.3386 x4
5 F 0.2679 0.6383 0.9987 x4
6 F 0.4588 0.6386 0.8388 x4

---

(19)
The following is a PBE calculation of a relaxed Rb2SmAgF6 crystal, from Alexandria.

Cell: 6.5680 6.7112 11.1992 Å, 90.00 125.50 90.00°
Space group P2_1/c (No. 14)
Symmetry-distinct sites (fractional):
1 Rb 0.2405 0.0416 0.2495 x4
2 Sm 0.5000 0.0000 0.0000 x2
3 Ag 0.0000 0.0000 0.5000 x2
4 F 0.1853 0.1912 0.9621 x4
5 F 0.2663 0.7266 0.9547 x4
6 F 0.3399 0.0301 0.7598 x4

---

no.,final energy (Ha/atom)
1,-0.1292
2,-0.1359
3,-0.1598
4,-0.1515
5,-0.1464
6,-0.1570
7,-0.1080
8,-0.1661
9,-0.1561
10,-0.1685
11,-0.1406
12,-0.1575
13,-0.1572
14,-0.1825
15,-0.2189
16,-0.1726
17,-0.1415
18,-0.1661
19,-0.1838